32
Lattice="-2.5403 1.3804 2.2544 0.1866 -8.6125 5.4837 8.0304 4.2705 6.4338" Properties=species:S:1:pos:R:3 comment="Er2CoO5 (PBE with a Hubbard U, optimized geometry)" total_magnetization_mub_per_fu=2.98 dft_energy_ev_per_fu=-59.2 pbc="T T T"
Co 5.3041 -2.2709 11.8387
O 0.6698 0.9227 1.6802
Er -0.0701 -4.9085 4.4171
O 3.5031 -0.3282 8.6198
Co 0.3725 -0.6907 2.3332
O 6.6536 -0.0461 9.0161
Er 2.7169 -4.0201 9.9945
Er 2.9597 1.0585 4.1774
Co 2.5331 -3.8975 6.7313
O -0.9052 -0.5391 3.7817
O 7.1107 2.5453 7.9444
Er 0.3925 -1.1591 5.6235
O 3.8402 -3.5498 7.9912
O 4.3832 0.7642 5.9616
O 4.3419 2.2722 7.9727
Er 5.7467 1.9469 9.7548
O 6.5818 -2.4225 10.3902
Co 3.1435 0.9360 7.4406
O 1.2934 -3.7257 8.2103
O 2.1735 -2.6334 5.5521
Er 5.6248 2.7344 6.1542
O 5.0069 -3.8843 12.4917
Er 5.2842 -1.8025 8.5484
Er 0.0519 -5.6960 8.0177
O -0.9770 -2.9154 5.1558
O 1.6008 -0.7365 3.7453
O 4.0758 -2.2251 10.4267
O 1.3347 -5.2338 6.1992
O 4.3978 -5.6016 9.8759
O -1.4341 -5.5068 6.2275
O 1.2788 2.6400 4.2960
O 1.8365 0.5882 6.1807